! CaLa2Zn PBE optimized geometry; values from VASP
! * ρ: 4.72 g/cm3
! * raw total energy: -3.208 eV/atom
! * calculated formation energy: 0.07 eV/atom
&SYSTEM
  ibrav = 0, nat = 16, ntyp = 3
/
ATOMIC_SPECIES
Ca 40.08 Ca.upf
La 138.91 La.upf
Zn 65.41 Zn.upf
CELL_PARAMETERS angstrom
9.092 0.000 0.000
0.000 9.092 0.000
0.000 0.000 6.522
ATOMIC_POSITIONS crystal
Ca 0.000 0.000 0.000
Ca 0.000 0.500 0.250
Ca 0.500 0.000 0.750
Ca 0.500 0.500 0.500
La 0.198 0.250 0.625
La 0.250 0.698 0.875
La 0.250 0.802 0.375
La 0.302 0.250 0.125
La 0.698 0.750 0.125
La 0.750 0.198 0.375
La 0.750 0.302 0.875
La 0.802 0.750 0.625
Zn 0.000 0.000 0.500
Zn 0.000 0.500 0.750
Zn 0.500 0.000 0.250
Zn 0.500 0.500 0.000